This record from Alexandria via LeMat-Bulk describes a relaxed CuSiB2Pb crystal. The functional is GGA-PBE.

Geometry as extended XYZ:
```
5
Lattice="-2.891 -0.723 -2.629 -0.906 -4.551 2.249 -2.636 1.723 2.425" Properties=species:S:1:pos:R:3 pbc="T T T"
B -1.446 -0.362 -1.315
B -1.318 0.861 1.212
Si -0.453 -2.275 1.124
Pb -3.217 -1.776 1.022
Cu 0.000 0.000 0.000
```

Summary:
**Uncorrected formation energy**: 1.23 eV/atom
**Density of states at the Fermi level**: 2.1 states/eV per cell


This record from Alexandria via LeMat-Bulk describes a relaxed CuSiB2Pb crystal. The functional is GGA-PBE.

Geometry as extended XYZ:
```
5
Lattice="-0.730 -0.372 3.958 3.270 -3.606 0.265 2.908 2.694 0.790" Properties=species:S:1:pos:R:3 pbc="T T T"
Pb 2.723 -0.642 2.506
Cu 1.635 -1.803 0.132
B 1.454 1.347 0.395
B -0.365 -0.186 1.979
Si 0.000 0.000 0.000
```

Summary:
**Uncorrected formation energy**: 1.10 eV/atom
**Density of states at the Fermi level**: 2.6 states/eV per cell


This record from Alexandria via LeMat-Bulk describes a relaxed SrCu2BPb crystal. The functional is GGA-PBE.

Geometry as extended XYZ:
```
5
Lattice="5.311 0.000 0.000 0.000 4.950 0.000 0.000 0.000 5.311" Properties=species:S:1:pos:R:3 pbc="T T T"
Pb 2.655 2.475 2.655
Cu 0.000 0.000 2.655
Cu 2.655 0.000 0.000
B 0.000 2.475 0.000
Sr 0.000 0.000 0.000
```

Summary:
**Density of states at the Fermi level**: 3.9 states/eV per cell
**Formation enthalpy at 0 K**: 1.59 eV/atom


This record from Alexandria via LeMat-Bulk describes a relaxed CuB2PbW crystal. The functional is GGA-PBE.

Geometry as extended XYZ:
```
5
Lattice="-2.706 1.482 3.078 -0.348 -4.410 1.818 3.402 0.804 2.603" Properties=species:S:1:pos:R:3 pbc="T T T"
W 0.174 -1.062 3.749
Pb 0.000 0.000 0.000
Cu -0.174 -2.205 0.909
B 1.701 0.402 1.301
B -1.353 0.741 1.539
```

Summary:
**Density of states at the Fermi level**: 6.5 states/eV per cell
**Formation enthalpy at 0 K**: 2.87 eV/atom


This record from Alexandria via LeMat-Bulk describes a relaxed Y2CuBPb crystal. The functional is GGA-PBE.

Geometry as extended XYZ:
```
5
Lattice="-1.695 1.222 -4.718 -4.742 0.736 1.895 0.881 3.893 0.692" Properties=species:S:1:pos:R:3 pbc="T T T"
Y -0.847 0.611 -2.359
Y -2.371 0.368 0.947
Cu 0.441 1.947 0.346
Pb -2.778 2.926 -1.065
B 0.000 0.000 0.000
```

Summary:
**Density of states at the Fermi level**: 2.7 states/eV per cell
**Formation enthalpy at 0 K**: -0.24 eV/atom


This record from Alexandria via LeMat-Bulk describes a relaxed Cu2BPd5 crystal. The functional is GGA-PBE.

Geometry as extended XYZ:
```
8
Lattice="-4.977 -2.610 0.823 0.061 -1.772 -5.396 4.229 -0.883 3.307" Properties=species:S:1:pos:R:3 pbc="T T T"
Cu -1.603 -2.837 0.920
Cu 0.913 -2.418 -2.186
Pd -3.671 -3.273 -3.415
Pd -1.209 -1.986 -3.825
Pd -3.704 -2.401 -0.746
Pd -1.585 -3.701 -1.783
Pd 2.979 -1.988 2.146
B 0.115 -0.205 0.065
```

Summary:
**Density of states at the Fermi level**: 3.1 states/eV per cell
**Formation enthalpy at 0 K**: -0.03 eV/atom


This record from Alexandria via LeMat-Bulk describes a relaxed CuB2Pd8 crystal. The functional is GGA-PBE.

Geometry as extended XYZ:
```
11
Lattice="-0.687 -3.226 -2.746 0.627 -3.387 5.170 -5.659 2.552 -0.233" Properties=species:S:1:pos:R:3 pbc="T T T"
B -1.391 -1.480 3.436
B -3.641 0.646 1.501
Cu -0.343 -1.613 -1.373
Pd -5.496 -2.815 0.754
Pd -4.420 -0.555 -0.246
Pd -2.411 -2.584 -0.035
Pd -3.308 -1.476 2.226
Pd -0.223 -1.245 1.437
Pd -1.886 0.326 0.007
Pd -1.299 -3.505 2.437
Pd -3.833 -4.386 2.184
```

Summary:
**Density of states at the Fermi level**: 6.8 states/eV per cell
**Formation enthalpy at 0 K**: -0.11 eV/atom


This record from Alexandria via LeMat-Bulk describes a relaxed Cu3BPd4 crystal. The functional is GGA-PBE.

Geometry as extended XYZ:
```
8
Lattice="3.942 0.000 -1.064 -0.282 3.937 -1.046 -0.271 -0.318 6.830" Properties=species:S:1:pos:R:3 pbc="T T T"
Pd 2.185 2.349 0.262
Pd 1.203 1.270 4.458
Pd 0.356 0.377 1.318
Pd 3.033 3.242 3.402
Cu 0.636 2.790 2.357
Cu -0.141 1.969 -0.523
Cu 2.752 0.829 2.362
B 1.971 0.000 -0.532
```

Summary:
**Density of states at the Fermi level**: 2.4 states/eV per cell
**Formation enthalpy at 0 K**: -0.01 eV/atom